No. 1
Below is NpGaB after structural relaxation, with properties calculated at the GGA-PBE level.

Cell: 4.300 4.300 4.300 Å, 60.00 60.00 60.00°
Last column: magnetic moment on the atom in μB.
Fractional positions:
Np: 0.750 0.750 0.750  3.98
B: 0.250 0.250 0.250  0.01
Ga: 0.000 0.000 0.000  0.13

Computed properties:
crystal system	cubic
mass density	9.38	Mg/m³

***

No. 2
Below is NpGaB after structural relaxation, with properties calculated at the GGA-PBE level.

Cell: 4.074 4.074 4.074 Å, 60.00 60.00 60.00°
Last column: magnetic moment on the atom in μB.
Fractional positions:
Ga: 0.250 0.250 0.250  0.08
Np: 0.750 0.750 0.750  3.67
B: 0.000 0.000 0.000  0.05

Computed properties:
crystal system	cubic
mass density	11.03	Mg/m³

***

No. 3
Below is NpGaB after structural relaxation, with properties calculated at the GGA-PBE level.

Cell: 4.302 4.302 4.302 Å, 60.00 60.00 60.00°
Last column: magnetic moment on the atom in μB.
Fractional positions:
B: 0.500 0.500 0.500  -0.04
Np: 0.250 0.250 0.250  3.18
Ga: 0.000 0.000 0.000  0.11

Computed properties:
crystal system	cubic
mass density	9.36	Mg/m³

***

No. 4
Below is GaBPd after structural relaxation, with properties calculated at the GGA-PBE level.

Cell: 3.809 3.809 3.809 Å, 60.00 60.00 60.00°
Fractional positions:
Pd: 0.750 0.750 0.750
B: 0.000 0.000 0.000
Ga: 0.250 0.250 0.250

Computed properties:
crystal system	cubic
mass density	7.95	Mg/m³

***

No. 5
Below is GaB4Pd after structural relaxation, with properties calculated at the GGA-PBE level.

Cell: 4.684 4.684 4.684 Å, 141.99 111.10 81.50°
Fractional positions:
B: 0.914 0.246 0.669
B: 0.423 0.754 0.669
B: 0.577 0.246 0.331
B: 0.086 0.754 0.331
Ga: 0.500 0.500 0.000
Pd: 0.000 0.000 0.000

Computed properties:
crystal system	orthorhombic
mass density	6.35	Mg/m³

***

No. 6
Below is GaB4Pd after structural relaxation, with properties calculated at the GGA-PBE level.

Cell: 3.050 3.050 7.048 Å, 90.00 90.00 120.00°
Fractional positions:
B: 0.333 0.667 0.243
B: 0.667 0.333 0.243
B: 0.333 0.667 0.757
B: 0.667 0.333 0.757
Ga: 0.000 0.000 0.000
Pd: 0.000 0.000 0.500

Computed properties:
crystal system	hexagonal
mass density	6.41	Mg/m³

***

No. 7
Below is PrGaB4 after structural relaxation, with properties calculated at the GGA-PBE level.

Cell: 3.161 3.161 7.747 Å, 90.00 90.00 120.00°
Fractional positions:
Ga: 0.000 0.000 0.000
B: 0.333 0.667 0.215
B: 0.333 0.667 0.785
B: 0.667 0.333 0.785
B: 0.667 0.333 0.215
Pr: 0.000 0.000 0.500

Computed properties:
crystal system	hexagonal
mass density	6.29	Mg/m³

***

No. 8
Below is PrGaB4 after structural relaxation, with properties calculated at the GGA-PBE level.

Cell: 5.257 5.257 5.257 Å, 144.15 119.97 71.93°
Fractional positions:
B: 0.416 0.741 0.675
B: 0.584 0.259 0.325
B: 0.066 0.741 0.325
B: 0.934 0.259 0.675
Pr: 0.000 0.000 0.000
Ga: 0.500 0.500 0.000

Computed properties:
crystal system	orthorhombic
mass density	5.82	Mg/m³

***

No. 9
Below is PrGaB after structural relaxation, with properties calculated at the GGA-PBE level.

Cell: 4.329 4.329 4.329 Å, 60.00 60.00 60.00°
Fractional positions:
Ga: 0.250 0.250 0.250
B: 0.000 0.000 0.000
Pr: 0.750 0.750 0.750

Computed properties:
crystal system	cubic
mass density	6.41	Mg/m³

***

No. 10
Below is PrGaB after structural relaxation, with properties calculated at the GGA-PBE level.

Cell: 4.450 4.450 4.450 Å, 60.00 60.00 60.00°
Fractional positions:
Ga: 0.000 0.000 0.000
B: 0.250 0.250 0.250
Pr: 0.750 0.750 0.750

Computed properties:
crystal system	cubic
mass density	5.90	Mg/m³

***

No. 11
Below is GaBPt after structural relaxation, with properties calculated at the GGA-PBE level.

Cell: 3.820 3.820 3.820 Å, 60.00 60.00 60.00°
Fractional positions:
Pt: 0.750 0.750 0.750
Ga: 0.250 0.250 0.250
B: 0.000 0.000 0.000

Computed properties:
crystal system	cubic
mass density	11.61	Mg/m³

***

No. 12
Below is GaB4Pt after structural relaxation, with properties calculated at the GGA-PBE level.

Cell: 4.693 4.693 4.693 Å, 141.86 111.17 81.51°
Fractional positions:
B: 0.089 0.758 0.331
B: 0.428 0.758 0.669
B: 0.572 0.242 0.331
B: 0.911 0.242 0.669
Pt: 0.000 0.000 0.000
Ga: 0.500 0.500 0.000

Computed properties:
crystal system	orthorhombic
mass density	8.84	Mg/m³

***

No. 13
Below is GaB4Pt after structural relaxation, with properties calculated at the GGA-PBE level.

Cell: 3.077 3.077 7.009 Å, 90.00 90.00 120.00°
Fractional positions:
Pt: 0.000 0.000 0.000
Ga: 0.000 0.000 0.500
B: 0.667 0.333 0.253
B: 0.333 0.667 0.253
B: 0.667 0.333 0.747
B: 0.333 0.667 0.747

Computed properties:
crystal system	hexagonal
mass density	8.90	Mg/m³

***

No. 14
Below is PuGaB after structural relaxation, with properties calculated at the GGA-PBE level.

Cell: 4.313 4.313 4.313 Å, 60.00 60.00 60.00°
Last column: magnetic moment on the atom in μB.
Fractional positions:
Ga: 0.000 0.000 0.000  0.10
B: 0.250 0.250 0.250  -0.01
Pu: 0.750 0.750 0.750  5.34

Computed properties:
crystal system	cubic
mass density	9.50	Mg/m³

***

No. 15
Below is PuGaB after structural relaxation, with properties calculated at the GGA-PBE level.

Cell: 4.171 4.171 4.171 Å, 60.00 60.00 60.00°
Last column: magnetic moment on the atom in μB.
Fractional positions:
Pu: 0.750 0.750 0.750  5.21
B: 0.000 0.000 0.000  0.01
Ga: 0.250 0.250 0.250  0.09

Computed properties:
crystal system	cubic
mass density	10.50	Mg/m³

***

No. 16
Below is PuGaB after structural relaxation, with properties calculated at the GGA-PBE level.

Cell: 4.439 4.439 4.439 Å, 60.00 60.00 60.00°
Last column: magnetic moment on the atom in μB.
Fractional positions:
Ga: 0.750 0.750 0.750  0.10
Pu: 0.000 0.000 0.000  4.98
B: 0.250 0.250 0.250  -0.01

Computed properties:
crystal system	cubic
mass density	8.72	Mg/m³

***

No. 17
Below is GaRe2B2 after structural relaxation, with properties calculated at the GGA-PBE level.

Cell: 5.037 5.037 5.037 Å, 135.77 135.77 64.33°
Fractional positions:
Ga: 0.000 0.000 0.000
Re: 0.250 0.750 0.500
Re: 0.750 0.250 0.500
B: 0.398 0.398 0.000
B: 0.602 0.602 0.000

Computed properties:
crystal system	tetragonal
mass density	12.56	Mg/m³

***

No. 18
Below is SmGaB4 after structural relaxation, with properties calculated at the GGA-PBE level.

Cell: 3.152 3.152 7.569 Å, 90.00 90.00 120.00°
Fractional positions:
B: 0.333 0.667 0.779
B: 0.667 0.333 0.779
B: 0.667 0.333 0.221
B: 0.333 0.667 0.221
Sm: 0.000 0.000 0.500
Ga: 0.000 0.000 0.000

Computed properties:
crystal system	hexagonal
mass density	6.71	Mg/m³

***

No. 19
Below is SmGaB4 after structural relaxation, with properties calculated at the GGA-PBE level.

Cell: 5.142 5.142 5.142 Å, 143.52 118.90 73.30°
Fractional positions:
B: 0.915 0.239 0.675
B: 0.564 0.239 0.325
B: 0.085 0.761 0.325
B: 0.436 0.761 0.675
Sm: 0.500 0.500 0.000
Ga: 0.000 0.000 0.000

Computed properties:
crystal system	orthorhombic
mass density	6.30	Mg/m³

***

No. 20
Below is Ta2GaB after structural relaxation, with properties calculated at the GGA-PBE level.

Cell: 3.196 3.196 13.645 Å, 90.00 90.00 120.00°
Fractional positions:
Ta: 0.333 0.667 0.092
Ta: 0.667 0.333 0.908
Ta: 0.333 0.667 0.408
Ta: 0.667 0.333 0.592
Ga: 0.667 0.333 0.250
Ga: 0.333 0.667 0.750
B: 0.000 0.000 0.500
B: 0.000 0.000 0.000

Computed properties:
crystal system	hexagonal
mass density	12.17	Mg/m³

***

No. 21
Below is Ta4GaB after structural relaxation, with properties calculated at the GGA-PBE level.

Cell: 6.063 6.063 5.023 Å, 90.00 90.00 90.00°
Fractional positions:
Ta: 0.861 0.316 0.500
Ta: 0.316 0.139 0.500
Ta: 0.139 0.316 0.000
Ta: 0.139 0.684 0.500
Ta: 0.684 0.139 0.000
Ta: 0.861 0.684 0.000
Ta: 0.316 0.861 0.000
Ta: 0.684 0.861 0.500
B: 0.000 0.000 0.250
B: 0.000 0.000 0.750
Ga: 0.500 0.500 0.250
Ga: 0.500 0.500 0.750

Computed properties:
crystal system	tetragonal
mass density	14.46	Mg/m³

***

No. 22
Below is Ta2GaB2 after structural relaxation, with properties calculated at the GGA-PBE level.

Cell: 5.996 5.996 3.339 Å, 90.00 90.00 149.81°
Fractional positions:
Ta: 0.361 0.639 0.500
Ta: 0.639 0.361 0.500
B: 0.213 0.787 0.000
B: 0.787 0.213 0.000
Ga: 0.000 0.000 0.000

Computed properties:
crystal system	orthorhombic
mass density	12.47	Mg/m³

***

No. 23
Below is Ta3GaB4 after structural relaxation, with properties calculated at the GGA-PBE level.

Cell: 3.113 3.312 8.509 Å, 90.00 90.00 90.00°
Fractional positions:
Ga: 0.000 0.500 0.000
B: 0.500 0.500 0.391
B: 0.500 0.500 0.609
B: 0.000 0.500 0.286
B: 0.000 0.500 0.714
Ta: 0.500 0.000 0.809
Ta: 0.500 0.000 0.191
Ta: 0.000 0.000 0.500

Computed properties:
crystal system	orthorhombic
mass density	12.41	Mg/m³

***

No. 24
Below is TaGaB after structural relaxation, with properties calculated at the GGA-PBE level.

Cell: 3.865 3.865 3.865 Å, 60.00 60.00 60.00°
Fractional positions:
Ga: 0.250 0.250 0.250
Ta: 0.750 0.750 0.750
B: 0.000 0.000 0.000

Computed properties:
crystal system	cubic
mass density	10.64	Mg/m³

***

No. 25
Below is TbGaB4 after structural relaxation, with properties calculated at the GGA-PBE level.

Cell: 5.048 5.048 5.048 Å, 143.08 118.26 74.16°
Fractional positions:
Tb: 0.500 0.500 0.000
B: 0.913 0.238 0.675
B: 0.563 0.238 0.325
B: 0.437 0.762 0.675
B: 0.087 0.762 0.325
Ga: 0.000 0.000 0.000

Computed properties:
crystal system	orthorhombic
mass density	6.77	Mg/m³

***

No. 26
Below is TbGaB4 after structural relaxation, with properties calculated at the GGA-PBE level.

Cell: 3.156 3.156 7.383 Å, 90.00 90.00 120.00°
Fractional positions:
B: 0.667 0.333 0.272
B: 0.333 0.667 0.272
B: 0.667 0.333 0.728
B: 0.333 0.667 0.728
Ga: 0.000 0.000 0.500
Tb: 0.000 0.000 0.000

Computed properties:
crystal system	hexagonal
mass density	7.09	Mg/m³

***

No. 27
Below is Ga2TcB after structural relaxation, with properties calculated at the GGA-PBE level.

Cell: 4.210 4.210 4.210 Å, 60.00 60.00 60.00°
Fractional positions:
Tc: 0.000 0.000 0.000
B: 0.250 0.250 0.250
Ga: 0.750 0.750 0.750
Ga: 0.500 0.500 0.500

Computed properties:
crystal system	cubic
mass density	7.81	Mg/m³

***

No. 28
Below is TmGaB4 after structural relaxation, with properties calculated at the GGA-PBE level.

Cell: 4.952 4.952 4.952 Å, 142.63 117.34 75.28°
Fractional positions:
B: 0.588 0.263 0.325
B: 0.063 0.737 0.325
B: 0.937 0.263 0.675
B: 0.412 0.737 0.675
Tm: 0.000 0.000 0.000
Ga: 0.500 0.500 0.000

Computed properties:
crystal system	orthorhombic
mass density	7.31	Mg/m³

***

No. 29
Below is TmGaB4 after structural relaxation, with properties calculated at the GGA-PBE level.

Cell: 3.152 3.152 7.219 Å, 90.00 90.00 120.00°
Fractional positions:
Tm: 0.000 0.000 0.500
B: 0.667 0.333 0.765
B: 0.333 0.667 0.235
B: 0.333 0.667 0.765
B: 0.667 0.333 0.235
Ga: 0.000 0.000 0.000

Computed properties:
crystal system	hexagonal
mass density	7.53	Mg/m³

***

| no. | total DFT energy (no corrections) (eV per atom) |
| --- | --- |
| 1 | -6.549 |
| 2 | -7.256 |
| 3 | -6.521 |
| 4 | -4.832 |
| 5 | -5.525 |
| 6 | -5.544 |
| 7 | -5.656 |
| 8 | -5.772 |
| 9 | -4.826 |
| 10 | -4.266 |
| 11 | -5.146 |
| 12 | -5.571 |
| 13 | -5.583 |
| 14 | -7.317 |
| 15 | -8.006 |
| 16 | -7.203 |
| 17 | -7.957 |
| 18 | -5.705 |
| 19 | -5.850 |
| 20 | -8.854 |
| 21 | -9.947 |
| 22 | -8.417 |
| 23 | -8.680 |
| 24 | -6.837 |
| 25 | -5.901 |
| 26 | -5.745 |
| 27 | -5.006 |
| 28 | -5.920 |
| 29 | -5.776 |